Material: CrCoIr2
Method: DFT, PBE-GGA
State: relaxed

a b c (Å): 2.6823 2.6823 25.3810
angles (deg): 90.00 90.00 120.00
With the nearest neighbours (Å) after each atom.
Atoms (fractional coordinates):
Cr 0.0000 0.0000 0.0000  6 Ir 2.60, 6 Cr 2.68
Cr 0.3333 0.6667 0.6667  6 Ir 2.60, 6 Cr 2.68
Cr 0.6667 0.3333 0.3333  6 Ir 2.60, 6 Cr 2.68
Co 0.0000 0.0000 0.5000  6 Ir 2.64, 6 Co 2.68
Co 0.3333 0.6667 0.1667  6 Ir 2.64, 6 Co 2.68
Co 0.6667 0.3333 0.8333  6 Ir 2.64, 6 Co 2.68
Ir 0.0000 0.0000 0.2511  3 Cr 2.60, 3 Co 2.64, 6 Ir 2.68
Ir 0.0000 0.0000 0.7489  3 Cr 2.60, 3 Co 2.64, 6 Ir 2.68
Ir 0.3333 0.6667 0.4156  3 Cr 2.60, 3 Co 2.64, 6 Ir 2.68
Ir 0.3333 0.6667 0.9178  3 Cr 2.60, 3 Co 2.64, 6 Ir 2.68
Ir 0.6667 0.3333 0.0822  3 Cr 2.60, 3 Co 2.64, 6 Ir 2.68
Ir 0.6667 0.3333 0.5844  3 Cr 2.60, 3 Co 2.64, 6 Ir 2.68

Results
Calculated volume = 13.18 Å³ per atom
ΔE_f = -0.0318 eV per atom
Spin magnetization = 4.0 μB/cell

Material: Dy2BeRh
Method: DFT, PBE-GGA
State: relaxed

a b c (Å): 3.4474 3.4474 6.7280
angles (deg): 90.00 90.00 90.00
With the nearest neighbours (Å) after each atom.
Atoms (fractional coordinates):
Dy 0.0000 0.0000 0.2498  4 Be 2.96, 4 Rh 2.96
Dy 0.0000 0.0000 0.7502  4 Be 2.96, 4 Rh 2.96
Be 0.5000 0.5000 0.0000  8 Dy 2.96
Rh 0.5000 0.5000 0.5000  8 Dy 2.96

Results
Polymorph energy (0 for the lowest one) = 0.0 meV/atom
Calculated volume = 19.99 Å³ per atom
ΔE_f = -0.3802 eV per atom
Spin magnetization = 0.0 μB/cell

Material: KAlSiO4
Method: DFT, PBE-GGA
State: relaxed

a b c (Å): 5.2291 5.2291 8.8568
angles (deg): 90.00 90.00 120.00
With the nearest neighbours (Å) after each atom.
Atoms (fractional coordinates):
K 0.0000 0.0000 0.0000  9 O 2.98-3.03
K 0.0000 0.0000 0.5000  9 O 2.98-3.03
Al 0.3333 0.6667 0.3060  4 O 1.75-1.76
Al 0.6667 0.3333 0.8060  4 O 1.75-1.76
Si 0.3333 0.6667 0.6881  4 O 1.63-1.64
Si 0.6667 0.3333 0.1881  4 O 1.63-1.64
O 0.0144 0.6179 0.7461  1 Si 1.64, 1 Al 1.76
O 0.3333 0.6667 0.5037  1 Si 1.63, 1 Al 1.75
O 0.3821 0.3965 0.7461  1 Si 1.64, 1 Al 1.76
O 0.3965 0.3821 0.2461  1 Si 1.64, 1 Al 1.76
O 0.6035 0.9856 0.7461  1 Si 1.64, 1 Al 1.76
O 0.6179 0.0144 0.2461  1 Si 1.64, 1 Al 1.76
O 0.6667 0.3333 0.0037  1 Si 1.63, 1 Al 1.75
O 0.9856 0.6035 0.2461  1 Si 1.64, 1 Al 1.76

Results
Polymorph energy (0 for the lowest one) = 0.7 meV/atom
Calculated volume = 14.98 Å³ per atom
Spin magnetization = 0.0 μB/cell
E_form (uncorrected) = -2.79 eV/atom

Material: ScBAu2
Method: DFT, PBE-GGA
State: relaxed

a b c (Å): 5.2615 5.2615 11.9066
angles (deg): 90.00 90.00 90.00
With the nearest neighbours (Å) after each atom.
Atoms (fractional coordinates):
Sc 0.0000 0.0000 0.0000  4 Au 2.72
Sc 0.0000 0.5000 0.2500  4 Au 2.72
Sc 0.5000 0.0000 0.7500  4 Au 2.72
Sc 0.5000 0.5000 0.5000  4 Au 2.72
B 0.0000 0.0000 0.5000  4 Au 2.13
B 0.0000 0.5000 0.7500  4 Au 2.13
B 0.5000 0.0000 0.2500  4 Au 2.13
B 0.5000 0.5000 0.0000  4 Au 2.13
Au 0.1471 0.2500 0.6250  2 B 2.13
Au 0.2500 0.6471 0.8750  2 B 2.13
Au 0.2500 0.8529 0.3750  2 B 2.13
Au 0.3529 0.2500 0.1250  2 B 2.13
Au 0.6471 0.7500 0.1250  2 B 2.13
Au 0.7500 0.1471 0.3750  2 B 2.13
Au 0.7500 0.3529 0.8750  2 B 2.13
Au 0.8529 0.7500 0.6250  2 B 2.13

Results
Calculated volume = 20.60 Å³ per atom
ΔE_f = 0.1112 eV per atom
Spin magnetization = 0.0 μB/cell

Material: Rb2Hf2NiS6
Method: DFT, PBE-GGA
State: relaxed

a b c (Å): 6.3539 6.3539 8.1437
angles (deg): 97.54 97.54 119.83
With the nearest neighbours (Å) after each atom.
Atoms (fractional coordinates):
Rb 0.1670 0.8330 0.0000  6 S 3.29-3.32, 3 Rb 3.67
Rb 0.8330 0.1670 0.0000  6 S 3.29-3.32, 3 Rb 3.67
Hf 0.3327 0.6673 0.5000  6 S 2.55-2.56
Hf 0.6673 0.3327 0.5000  6 S 2.55-2.56
Ni 0.0000 0.0000 0.5000  6 S 2.51
S 0.0615 0.3876 0.6783  1 Ni 2.51, 2 Hf 2.55-2.56
S 0.2685 0.2685 0.3227  1 Ni 2.51, 2 Hf 2.56
S 0.3876 0.0615 0.6783  1 Ni 2.51, 2 Hf 2.55-2.56
S 0.6124 0.9385 0.3217  1 Ni 2.51, 2 Hf 2.55-2.56
S 0.7315 0.7315 0.6773  1 Ni 2.51, 2 Hf 2.56
S 0.9385 0.6124 0.3217  1 Ni 2.51, 2 Hf 2.55-2.56

Results
Calculated volume = 25.02 Å³ per atom
Spin magnetization = 2.0 μB/cell
E_form (uncorrected) = -1.25 eV/atom

Material: Ba2CdSn2Sb4
Method: DFT, PBE-GGA
State: relaxed

a b c (Å): 8.7922 8.7922 6.9351
angles (deg): 108.58 108.58 37.07
With the nearest neighbours (Å) after each atom.
Atoms (fractional coordinates):
Ba 0.1324 0.1324 0.1042  8 Sb 3.52-3.91, 1 Sn 3.56
Ba 0.8676 0.8676 0.8958  8 Sb 3.52-3.91, 1 Sn 3.56
Cd 0.0000 0.0000 0.5000  6 Sb 3.18-3.39
Sn 0.3401 0.3401 0.4781  4 Sb 2.91-3.06
Sn 0.6599 0.6599 0.5219  4 Sb 2.91-3.06
Sb 0.2023 0.2023 0.6790  3 Sn 3.00-3.06, 1 Cd 3.18
Sb 0.4900 0.4900 0.2175  1 Sn 2.91, 1 Sb 3.15
Sb 0.5100 0.5100 0.7825  1 Sn 2.91, 1 Sb 3.15
Sb 0.7977 0.7977 0.3210  3 Sn 3.00-3.06, 1 Cd 3.18

Results
Calculated volume = 33.82 Å³ per atom
Spin magnetization = 0.0 μB/cell
E_form (uncorrected) = -0.45 eV/atom

Material: RbCdPb6
Method: DFT, PBE-GGA
State: relaxed

a b c (Å): 5.1306 5.1306 10.9635
angles (deg): 90.00 90.00 90.00
With the nearest neighbours (Å) after each atom.
Atoms (fractional coordinates):
Rb 0.0000 0.0000 0.0000  16 Pb 3.98-4.42
Cd 0.0000 0.0000 0.5000  8 Pb 3.18
Pb 0.0000 0.5000 0.3281  2 Cd 3.18, 2 Pb 3.23
Pb 0.0000 0.5000 0.6719  2 Cd 3.18, 2 Pb 3.23
Pb 0.5000 0.0000 0.3281  2 Cd 3.18, 2 Pb 3.23
Pb 0.5000 0.0000 0.6719  2 Cd 3.18, 2 Pb 3.23
Pb 0.5000 0.5000 0.1488  5 Pb 3.23-3.26
Pb 0.5000 0.5000 0.8512  5 Pb 3.23-3.26

Results
Calculated volume = 36.07 Å³ per atom
ΔE_f = -0.0409 eV per atom
Spin magnetization = 0.0 μB/cell

Material: KRh
Method: DFT, PBE-GGA
State: relaxed

a b c (Å): 11.3333 11.3333 4.2825
angles (deg): 90.00 90.00 120.00
With the nearest neighbours (Å) after each atom.
Atoms (fractional coordinates):
K 0.2054 0.4109 0.2500  6 Rh 3.34-3.40
K 0.2054 0.7946 0.2500  6 Rh 3.34-3.40
K 0.4109 0.2054 0.7500  6 Rh 3.34-3.40
K 0.5891 0.7946 0.2500  6 Rh 3.34-3.40
K 0.7946 0.2054 0.7500  6 Rh 3.34-3.40
K 0.7946 0.5891 0.7500  6 Rh 3.34-3.40
Rh 0.0527 0.5264 0.7500  2 Rh 2.38
Rh 0.4736 0.5264 0.7500  2 Rh 2.38
Rh 0.4736 0.9473 0.7500  2 Rh 2.38
Rh 0.5264 0.0527 0.2500  2 Rh 2.38
Rh 0.5264 0.4736 0.2500  2 Rh 2.38
Rh 0.9473 0.4736 0.2500  2 Rh 2.38

Results
Polymorph energy (0 for the lowest one) = 253.0 meV/atom
Calculated volume = 39.70 Å³ per atom
ΔE_f = 0.6218 eV per atom
Spin magnetization = 0.0 μB/cell

Material: Lu2MgRe
Method: DFT, PBE-GGA
State: relaxed

a b c (Å): 3.4075 3.4075 7.9930
angles (deg): 90.00 90.00 90.00
With the nearest neighbours (Å) after each atom.
Atoms (fractional coordinates):
Lu 0.0000 0.0000 0.2017  4 Re 2.90, 1 Lu 3.22
Lu 0.0000 0.0000 0.7983  4 Re 2.90, 1 Lu 3.22
Mg 0.5000 0.5000 0.5000  8 Lu 3.39, 4 Mg 3.41
Re 0.5000 0.5000 0.0000  8 Lu 2.90

Results
Polymorph energy (0 for the lowest one) = 0.0 meV/atom
Calculated volume = 23.20 Å³ per atom
ΔE_f = -0.0214 eV per atom
Spin magnetization = 0.0 μB/cell

Material: Tc2NiCl
Method: DFT, PBE-GGA
State: relaxed

a b c (Å): 3.8448 2.8602 10.2022
angles (deg): 90.00 90.00 90.00
With the nearest neighbours (Å) after each atom.
Atoms (fractional coordinates):
Tc 0.0000 0.0000 0.0000  2 Cl 2.43, 1 Ni 2.51
Tc 0.0000 0.5000 0.5000  2 Cl 2.43, 1 Ni 2.51
Tc 0.5000 0.0000 0.3737  1 Cl 2.33
Tc 0.5000 0.5000 0.8737  1 Cl 2.33
Ni 0.0000 0.0000 0.7538  5 Tc 2.51-2.69, 4 Cl 2.64
Ni 0.0000 0.5000 0.2538  5 Tc 2.51-2.69, 4 Cl 2.64
Cl 0.5000 0.0000 0.1455  3 Tc 2.33-2.43
Cl 0.5000 0.5000 0.6455  3 Tc 2.33-2.43

Results
Polymorph energy (0 for the lowest one) = 207.6 meV/atom
Calculated volume = 14.02 Å³ per atom
Spin magnetization = 0.0 μB/cell
E_form (uncorrected) = 0.45 eV/atom

Material: AsSe2O
Method: DFT, PBE-GGA
State: relaxed

a b c (Å): 2.9601 2.9601 26.4282
angles (deg): 90.00 90.00 120.00
With the nearest neighbours (Å) after each atom.
Atoms (fractional coordinates):
As 0.0000 0.0000 0.0000  2 Se 2.69, 6 As 2.96
As 0.3333 0.6667 0.6667  2 Se 2.69, 6 As 2.96
As 0.6667 0.3333 0.3333  2 Se 2.69, 6 As 2.96
Se 0.0000 0.0000 0.1019  3 O 2.42, 1 As 2.69
Se 0.0000 0.0000 0.8981  3 O 2.42, 1 As 2.69
Se 0.3333 0.6667 0.5647  3 O 2.42, 1 As 2.69
Se 0.3333 0.6667 0.7686  3 O 2.42, 1 As 2.69
Se 0.6667 0.3333 0.2314  3 O 2.42, 1 As 2.69
Se 0.6667 0.3333 0.4353  3 O 2.42, 1 As 2.69
O 0.0000 0.0000 0.5000  6 Se 2.42
O 0.3333 0.6667 0.1667  6 Se 2.42
O 0.6667 0.3333 0.8333  6 Se 2.42

Results
Polymorph energy (0 for the lowest one) = 379.2 meV/atom
Calculated volume = 16.71 Å³ per atom
Spin magnetization = 0.0 μB/cell
E_form (uncorrected) = 0.49 eV/atom

Material: BaB3Rh
Method: DFT, PBE-GGA
State: relaxed

a b c (Å): 4.2383 4.2383 4.2383
angles (deg): 90.00 90.00 90.00
With the nearest neighbours (Å) after each atom.
Atoms (fractional coordinates):
Ba 0.0000 0.0000 0.0000  12 B 3.00
B 0.0000 0.5000 0.5000  2 Rh 2.12
B 0.5000 0.0000 0.5000  2 Rh 2.12
B 0.5000 0.5000 0.0000  2 Rh 2.12
Rh 0.5000 0.5000 0.5000  6 B 2.12

Results
Polymorph energy (0 for the lowest one) = 0.0 meV/atom
Calculated volume = 15.23 Å³ per atom
ΔE_f = 0.5509 eV per atom
Spin magnetization = 0.0 μB/cell